Entry 1:
DFT (PBEsol) results for GaCo4 after structural relaxation.

Structure (POSCAR):
```
GaCo4
1.0
2.541 0.000 0.000
-1.271 2.201 0.000
0.000 0.000 29.685
Ga Co
3 12
Direct
0.000 0.000 0.000
0.333 0.667 0.667
0.667 0.333 0.333
0.000 0.000 0.200
0.000 0.000 0.402
0.000 0.000 0.598
0.000 0.000 0.800
0.333 0.667 0.069
0.333 0.667 0.264
0.333 0.667 0.467
0.333 0.667 0.867
0.667 0.333 0.133
0.667 0.333 0.533
0.667 0.333 0.736
0.667 0.333 0.931
```

**V**: 166 Å³ per cell
**VASP energy**: -6.819 eV/atom
**DOS(E_F)**: 1.050 states/eV per atom
**ΔH_f (0 K)**: 0.04 eV/atom



Entry 2:
DFT (PBEsol) results for Gd2Ga9Co3 after structural relaxation.

Structure (POSCAR):
```
Gd2Ga9Co3
1.0
6.282 -3.651 0.000
6.282 3.651 0.000
0.000 0.000 9.299
Gd Ga Co
4 18 6
Direct
0.003 0.669 0.750
0.331 0.997 0.750
0.669 0.003 0.250
0.997 0.331 0.250
0.001 0.666 0.071
0.001 0.666 0.429
0.122 0.878 0.250
0.334 0.666 0.557
0.334 0.666 0.943
0.334 0.999 0.071
0.334 0.999 0.429
0.337 0.450 0.250
0.450 0.337 0.750
0.550 0.663 0.250
0.663 0.550 0.750
0.666 0.001 0.571
0.666 0.001 0.929
0.666 0.334 0.057
0.666 0.334 0.443
0.878 0.122 0.750
0.999 0.334 0.571
0.999 0.334 0.929
0.000 0.000 0.000
0.000 0.000 0.500
0.329 0.329 0.000
0.329 0.329 0.500
0.671 0.671 0.000
0.671 0.671 0.500
```

**V**: 426 Å³ per cell
**VASP energy**: -6.420 eV/atom
**DOS(E_F)**: 0.437 states/eV per atom
**ΔH_f (0 K)**: -0.55 eV/atom



Entry 3:
DFT (PBEsol) results for Gd4Ga16Co3 after structural relaxation.

Structure (POSCAR):
```
Gd4Ga16Co3
1.0
5.949 0.000 0.000
0.000 5.949 0.000
0.000 0.000 10.962
Gd Ga Co
4 16 3
Direct
0.000 0.500 0.195
0.000 0.500 0.805
0.500 0.000 0.195
0.500 0.000 0.805
0.000 0.000 0.196
0.000 0.000 0.804
0.219 0.219 0.000
0.219 0.781 0.000
0.251 0.251 0.385
0.251 0.251 0.615
0.251 0.749 0.385
0.251 0.749 0.615
0.500 0.500 0.218
0.500 0.500 0.782
0.749 0.251 0.385
0.749 0.251 0.615
0.749 0.749 0.385
0.749 0.749 0.615
0.781 0.219 0.000
0.781 0.781 0.000
0.000 0.500 0.500
0.500 0.000 0.500
0.500 0.500 0.000
```

**V**: 388 Å³ per cell
**VASP energy**: -6.420 eV/atom
**DOS(E_F)**: 0.235 states/eV per atom
**ΔH_f (0 K)**: -0.57 eV/atom



Entry 4:
DFT (PBEsol) results for GaCo4Ge3 after structural relaxation.

Structure (POSCAR):
```
GaCo4Ge3
1.0
3.213 1.855 2.660
-3.213 1.855 2.660
0.000 -3.710 2.660
Ga Co Ge
1 4 3
Direct
0.000 0.000 0.000
0.021 0.519 0.792
0.302 0.302 0.302
0.519 0.792 0.021
0.792 0.021 0.519
0.314 0.823 0.499
0.499 0.314 0.823
0.823 0.499 0.314
```

**V**: 95 Å³ per cell
**VASP energy**: -6.449 eV/atom
**DOS(E_F)**: 0.845 states/eV per atom
**ΔH_f (0 K)**: -0.31 eV/atom



Entry 5:
DFT (PBEsol) results for Ga3Co4Ge after structural relaxation.

Structure (POSCAR):
```
Ga3Co4Ge
1.0
3.246 1.874 2.610
-3.246 1.874 2.610
0.000 -3.748 2.610
Ga Co Ge
3 4 1
Direct
0.109 0.601 0.290
0.290 0.109 0.601
0.601 0.290 0.109
0.085 0.085 0.085
0.307 0.594 0.808
0.594 0.808 0.307
0.808 0.307 0.594
0.788 0.788 0.788
```

**V**: 95 Å³ per cell
**VASP energy**: -6.023 eV/atom
**DOS(E_F)**: 0.974 states/eV per atom
**ΔH_f (0 K)**: -0.28 eV/atom



Entry 6:
DFT (PBEsol) results for ZnGa2CoGe after structural relaxation.

Structure (POSCAR):
```
ZnGa2CoGe
1.0
4.531 0.000 0.000
0.000 4.531 0.000
0.000 0.000 4.377
Zn Ga Co Ge
1 2 1 1
Direct
0.000 0.000 0.000
0.000 0.500 0.500
0.500 0.000 0.500
0.500 0.500 0.500
0.500 0.500 0.000
```

**V**: 90 Å³ per cell
**VASP energy**: -4.126 eV/atom
**DOS(E_F)**: 0.360 states/eV per atom
**ΔH_f (0 K)**: 0.06 eV/atom



Entry 7:
DFT (PBEsol) results for Zr6Ga2CoH10 after structural relaxation.

Structure (POSCAR):
```
Zr6Ga2CoH10
1.0
7.912 0.000 0.000
-3.956 6.852 0.000
0.000 0.000 7.082
Zr Ga Co H
12 4 2 20
Direct
0.000 0.262 0.000
0.000 0.262 0.500
0.045 0.623 0.250
0.262 0.000 0.000
0.262 0.000 0.500
0.377 0.422 0.250
0.422 0.377 0.750
0.578 0.955 0.250
0.623 0.045 0.750
0.738 0.738 0.000
0.738 0.738 0.500
0.955 0.578 0.750
0.333 0.667 0.547
0.333 0.667 0.953
0.667 0.333 0.047
0.667 0.333 0.453
0.000 0.000 0.250
0.000 0.000 0.750
0.000 0.000 0.000
0.000 0.000 0.500
0.000 0.721 0.000
0.000 0.721 0.500
0.115 0.407 0.250
0.119 0.880 0.750
0.120 0.239 0.750
0.239 0.120 0.250
0.279 0.279 0.000
0.279 0.279 0.500
0.293 0.885 0.250
0.407 0.115 0.750
0.593 0.707 0.250
0.707 0.593 0.750
0.721 0.000 0.000
0.721 0.000 0.500
0.761 0.881 0.750
0.880 0.119 0.250
0.881 0.761 0.250
0.885 0.293 0.750
```

**V**: 384 Å³ per cell
**VASP energy**: -5.911 eV/atom
**DOS(E_F)**: 0.447 states/eV per atom



Entry 8:
DFT (PBEsol) results for Hf2Ga3Co after structural relaxation.

Structure (POSCAR):
```
Hf2Ga3Co
1.0
6.433 -4.003 0.000
6.433 4.003 0.000
-2.889 0.000 5.505
Hf Ga Co
6 9 3
Direct
0.180 0.695 0.438
0.242 0.758 0.000
0.472 0.964 0.549
0.695 0.180 0.438
0.758 0.242 0.000
0.964 0.472 0.549
0.058 0.058 0.334
0.099 0.099 0.784
0.345 0.345 0.030
0.378 0.378 0.656
0.491 0.967 0.040
0.557 0.557 0.335
0.603 0.603 0.786
0.878 0.878 0.673
0.967 0.491 0.040
0.221 0.221 0.241
0.722 0.722 0.264
0.848 0.848 0.025
```

**V**: 284 Å³ per cell
**VASP energy**: -6.968 eV/atom
**DOS(E_F)**: 0.372 states/eV per atom
**ΔH_f (0 K)**: -0.51 eV/atom



Entry 9:
DFT (PBEsol) results for Hf6Ga16Co7 after structural relaxation.

Structure (POSCAR):
```
Hf6Ga16Co7
1.0
0.000 5.919 5.919
5.919 0.000 5.919
5.919 5.919 0.000
Hf Ga Co
6 16 7
Direct
0.196 0.196 0.804
0.196 0.804 0.196
0.196 0.804 0.804
0.804 0.196 0.196
0.804 0.196 0.804
0.804 0.804 0.196
0.138 0.621 0.621
0.159 0.159 0.159
0.159 0.159 0.522
0.159 0.522 0.159
0.379 0.379 0.379
0.379 0.379 0.862
0.379 0.862 0.379
0.478 0.841 0.841
0.522 0.159 0.159
0.621 0.138 0.621
0.621 0.621 0.138
0.621 0.621 0.621
0.841 0.478 0.841
0.841 0.841 0.478
0.841 0.841 0.841
0.862 0.379 0.379
0.000 0.000 0.500
0.000 0.500 0.000
0.000 0.500 0.500
0.500 0.000 0.000
0.500 0.000 0.500
0.500 0.500 0.000
0.500 0.500 0.500
```

**V**: 415 Å³ per cell
**VASP energy**: -6.353 eV/atom
**DOS(E_F)**: 0.836 states/eV per atom
**ΔH_f (0 K)**: -0.47 eV/atom



Entry 10:
DFT (PBEsol) results for Hf6Ga2Co after structural relaxation.

Structure (POSCAR):
```
Hf6Ga2Co
1.0
7.650 0.000 0.000
-3.825 6.625 0.000
0.000 0.000 3.283
Hf Ga Co
6 2 1
Direct
0.000 0.401 0.000
0.000 0.750 0.500
0.250 0.250 0.500
0.401 0.000 0.000
0.599 0.599 0.000
0.750 0.000 0.500
0.333 0.667 0.500
0.667 0.333 0.500
0.000 0.000 0.000
```

**V**: 166 Å³ per cell
**VASP energy**: -9.023 eV/atom
**DOS(E_F)**: 1.141 states/eV per atom
**ΔH_f (0 K)**: -0.42 eV/atom



Entry 11:
DFT (PBEsol) results for HfGa5Co after structural relaxation.

Structure (POSCAR):
```
HfGa5Co
1.0
4.070 0.000 0.000
0.000 4.070 0.000
0.000 0.000 6.526
Hf Ga Co
1 5 1
Direct
0.000 0.000 0.000
0.000 0.500 0.303
0.000 0.500 0.697
0.500 0.000 0.303
0.500 0.000 0.697
0.500 0.500 0.000
0.000 0.000 0.500
```

**V**: 108 Å³ per cell
**VASP energy**: -5.410 eV/atom
**DOS(E_F)**: 0.306 states/eV per atom
**ΔH_f (0 K)**: -0.42 eV/atom



Entry 12:
DFT (PBEsol) results for Hf2GaCoNi after structural relaxation.

Structure (POSCAR):
```
Hf2GaCoNi
1.0
4.577 0.000 0.000
0.000 4.577 0.000
0.000 0.000 4.306
Hf Ga Co Ni
2 1 1 1
Direct
0.000 0.500 0.000
0.500 0.000 0.000
0.000 0.000 0.500
0.500 0.500 0.000
0.500 0.500 0.500
```

**V**: 90 Å³ per cell
**VASP energy**: -7.379 eV/atom
**DOS(E_F)**: 1.345 states/eV per atom
**ΔH_f (0 K)**: 0.27 eV/atom



Entry 13:
DFT (PBEsol) results for Ga2Co2Hg after structural relaxation.

Structure (POSCAR):
```
Ga2Co2Hg
1.0
3.907 0.000 0.000
0.000 3.907 0.000
0.000 0.000 9.774
Ga Co Hg
4 4 2
Direct
0.000 0.000 0.124
0.000 0.000 0.876
0.500 0.500 0.376
0.500 0.500 0.624
0.000 0.500 0.250
0.000 0.500 0.750
0.500 0.000 0.250
0.500 0.000 0.750
0.000 0.000 0.500
0.500 0.500 0.000
```

**V**: 149 Å³ per cell
**VASP energy**: -4.360 eV/atom
**DOS(E_F)**: 0.230 states/eV per atom
**ΔH_f (0 K)**: 0.18 eV/atom



Entry 14:
DFT (PBEsol) results for YGaCo2Hg after structural relaxation.

Structure (POSCAR):
```
YGaCo2Hg
1.0
4.412 0.000 0.000
0.000 4.412 0.000
0.000 0.000 5.178
Y Ga Co Hg
1 1 2 1
Direct
0.000 0.000 0.000
0.000 0.000 0.500
0.000 0.500 0.500
0.500 0.000 0.500
0.500 0.500 0.000
```

**V**: 101 Å³ per cell
**VASP energy**: -4.657 eV/atom
**DOS(E_F)**: 1.234 states/eV per atom
**ΔH_f (0 K)**: 0.58 eV/atom



Entry 15:
DFT (PBEsol) results for HoGaCo after structural relaxation.

Structure (POSCAR):
```
HoGaCo
1.0
6.910 0.000 0.000
0.000 4.344 0.000
0.000 0.000 6.679
Ho Ga Co
4 4 4
Direct
0.025 0.250 0.194
0.475 0.750 0.694
0.525 0.250 0.306
0.975 0.750 0.806
0.195 0.250 0.609
0.305 0.750 0.109
0.695 0.250 0.891
0.805 0.750 0.391
0.152 0.750 0.438
0.348 0.250 0.938
0.652 0.750 0.062
0.848 0.250 0.562
```

**V**: 200 Å³ per cell
**VASP energy**: -5.886 eV/atom
**DOS(E_F)**: 0.717 states/eV per atom
**ΔH_f (0 K)**: -0.54 eV/atom



Entry 16:
DFT (PBEsol) results for Ho8Ga3Co after structural relaxation.

Structure (POSCAR):
```
Ho8Ga3Co
1.0
9.816 0.000 0.000
-4.908 8.501 0.000
0.000 0.000 6.733
Ho Ga Co
16 6 2
Direct
0.000 0.000 0.021
0.000 0.000 0.521
0.071 0.536 0.000
0.173 0.346 0.300
0.173 0.827 0.300
0.333 0.667 0.620
0.346 0.173 0.800
0.464 0.536 0.000
0.464 0.929 0.000
0.536 0.071 0.500
0.536 0.464 0.500
0.654 0.827 0.300
0.667 0.333 0.120
0.827 0.173 0.800
0.827 0.654 0.800
0.929 0.464 0.500
0.164 0.327 0.753
0.164 0.836 0.753
0.327 0.164 0.253
0.673 0.836 0.753
0.836 0.164 0.253
0.836 0.673 0.253
0.333 0.667 0.233
0.667 0.333 0.733
```

**V**: 562 Å³ per cell
**VASP energy**: -5.212 eV/atom
**DOS(E_F)**: 0.195 states/eV per atom
**ΔH_f (0 K)**: -0.43 eV/atom



Entry 17:
DFT (PBEsol) results for HoGa5Co after structural relaxation.

Structure (POSCAR):
```
HoGa5Co
1.0
4.139 0.000 0.000
0.000 4.139 0.000
0.000 0.000 6.697
Ho Ga Co
1 5 1
Direct
0.000 0.000 0.000
0.000 0.500 0.310
0.000 0.500 0.690
0.500 0.000 0.310
0.500 0.000 0.690
0.500 0.500 0.000
0.000 0.000 0.500
```

**V**: 115 Å³ per cell
**VASP energy**: -4.719 eV/atom
**DOS(E_F)**: 0.277 states/eV per atom
**ΔH_f (0 K)**: -0.52 eV/atom



Entry 18:
DFT (PBEsol) results for Ho6GaCo2 after structural relaxation.

Structure (POSCAR):
```
Ho6GaCo2
1.0
-4.515 4.652 4.813
4.515 -4.652 4.813
4.515 4.652 -4.813
Ho Ga Co
12 2 4
Direct
0.041 0.239 0.802
0.181 0.281 0.462
0.181 0.719 0.900
0.326 0.015 0.689
0.326 0.638 0.311
0.436 0.239 0.198
0.564 0.761 0.802
0.674 0.362 0.689
0.674 0.985 0.311
0.819 0.281 0.100
0.819 0.719 0.538
0.959 0.761 0.198
0.000 0.000 0.000
0.500 0.500 0.000
0.115 0.615 0.500
0.337 0.000 0.337
0.663 0.000 0.663
0.885 0.385 0.500
```

**V**: 404 Å³ per cell
**VASP energy**: -5.702 eV/atom
**DOS(E_F)**: 0.731 states/eV per atom
**ΔH_f (0 K)**: -0.31 eV/atom



Entry 19:
DFT (PBEsol) results for Ga2CoOsI after structural relaxation.

Structure (POSCAR):
```
Ga2CoOsI
1.0
4.489 0.000 0.000
0.000 4.489 0.000
0.000 0.000 4.637
Ga Co Os I
2 1 1 1
Direct
0.000 0.500 0.000
0.500 0.000 0.000
0.000 0.000 0.000
0.000 0.000 0.500
0.500 0.500 0.500
```

**V**: 93 Å³ per cell
**VASP energy**: -4.953 eV/atom
**DOS(E_F)**: 0.970 states/eV per atom
**Uncorrected formation energy**: 0.727 eV per atom